## A
The following is a PBE calculation of La3FePb after structural relaxation, from the Alexandria database.

Cell lengths 6.0783, 10.1724, 9.4282 Å; angles 90.00, 90.00, 90.00 degrees
With the nearest neighbours (Å) after each atom.
Element x y z (fractional)
Pb (0.0000, 0.0000, 0.5000)  2 Fe 3.27, 8 La 3.31-3.50
Pb (0.5000, 0.5000, 0.0000)  2 Fe 3.27, 8 La 3.31-3.50
Pb (0.5000, 0.0000, 0.0000)  2 Fe 3.27, 8 La 3.31-3.50
Pb (0.0000, 0.5000, 0.5000)  2 Fe 3.27, 8 La 3.31-3.50
Fe (0.6800, 0.2500, 0.5704)  1 La 2.38
Fe (0.8200, 0.7500, 0.0704)  1 La 2.38
Fe (0.3200, 0.7500, 0.4296)  1 La 2.38
Fe (0.1800, 0.2500, 0.9296)  1 La 2.38
La (0.0113, 0.9150, 0.8572)  1 Fe 2.87, 1 La 3.20
La (0.4887, 0.4150, 0.3572)  1 Fe 2.87, 1 La 3.20
La (0.4887, 0.0850, 0.3572)  1 Fe 2.87, 1 La 3.20
La (0.9887, 0.4150, 0.1428)  1 Fe 2.87, 1 La 3.20
La (0.9887, 0.0850, 0.1428)  1 Fe 2.87, 1 La 3.20
La (0.5113, 0.5850, 0.6428)  1 Fe 2.87, 1 La 3.20
La (0.5113, 0.9150, 0.6428)  1 Fe 2.87, 1 La 3.20
La (0.0113, 0.5850, 0.8572)  1 Fe 2.87, 1 La 3.20
La (0.2121, 0.2500, 0.6783)  1 Fe 2.38
La (0.2879, 0.7500, 0.1783)  1 Fe 2.38
La (0.7879, 0.7500, 0.3217)  1 Fe 2.38
La (0.7121, 0.2500, 0.8217)  1 Fe 2.38

Computed properties:
**Mass density**: 7.7 g cm⁻³
**Density of states at the Fermi level**: 17.91 states/eV per cell

***

## B
The following is a PBE calculation of La3FePb after structural relaxation, from the Alexandria database.

Cell lengths 13.7312, 6.7122, 6.7122 Å; angles 131.70, 135.50, 44.50 degrees
With the nearest neighbours (Å) after each atom.
Element x y z (fractional)
Pb (0.9774, 0.8894, 0.1106)  1 Pb 3.22, 4 La 3.24-3.51
Pb (0.0226, 0.1106, 0.8894)  1 Pb 3.22, 4 La 3.24-3.51
Fe (0.5286, 0.0701, 0.9299)  1 Fe 2.38, 2 La 2.45-2.66
Fe (0.4714, 0.9299, 0.0701)  1 Fe 2.38, 2 La 2.45-2.66
La (0.3668, 0.6984, 0.3016)  2 La 3.04-3.38, 2 Fe 3.08, 1 Pb 3.24
La (0.6332, 0.3016, 0.6984)  2 La 3.04-3.38, 2 Fe 3.08, 1 Pb 3.24
La (0.1932, 0.2214, 0.7786)  1 Fe 2.45
La (0.8068, 0.7786, 0.2214)  1 Fe 2.45
La (0.6835, 0.5857, 0.4143)  1 Fe 2.66
La (0.3165, 0.4143, 0.5857)  1 Fe 2.66

Computed properties:
**Mass density**: 7.8 g cm⁻³
**Density of states at the Fermi level**: 3.02 states/eV per cell

***

It is B that is the most stable of them.

***

## A
The following is a PBE calculation of La3FePb after structural relaxation, from the Alexandria database.

Cell lengths 7.0211, 6.3173, 6.9297 Å; angles 70.50, 96.95, 91.90 degrees
With the nearest neighbours (Å) after each atom.
Element x y z (fractional)
Pb (0.6555, 0.5201, 0.1725)  1 Fe 2.80
Pb (0.0701, 0.0552, 0.7034)  1 Fe 2.80
Fe (0.5277, 0.6547, 0.4813)  2 La 2.37-2.40
Fe (0.1980, 0.9205, 0.3947)  2 La 2.37-2.40
La (0.1644, 0.4854, 0.2607)  3 Fe 3.15-3.38, 1 Pb 3.47
La (0.5612, 0.0898, 0.6153)  3 Fe 3.15-3.38, 1 Pb 3.47
La (0.8984, 0.0075, 0.1779)  1 Fe 2.40
La (0.3244, 0.5389, 0.7461)  1 Fe 2.37
La (0.4012, 0.0361, 0.1299)  1 Fe 2.37
La (0.8272, 0.5678, 0.6981)  1 Fe 2.40

Computed properties:
**Mass density**: 7.8 g cm⁻³
**Density of states at the Fermi level**: 6.66 states/eV per cell

***

## B
The following is a PBE calculation of La3FePb after structural relaxation, from the Alexandria database.

Cell lengths 5.2777, 5.2777, 5.2777 Å; angles 90.00, 90.00, 90.00 degrees
With the nearest neighbours (Å) after each atom.
Element x y z (fractional)
Pb (0.5000, 0.5000, 0.5000)  12 La 3.73
Fe (0.0000, 0.0000, 0.0000)  6 La 2.64
La (0.0000, 0.5000, 0.0000)  2 Fe 2.64
La (0.0000, 0.0000, 0.5000)  2 Fe 2.64
La (0.5000, 0.0000, 0.0000)  2 Fe 2.64

Computed properties:
**Mass density**: 7.7 g cm⁻³
**Density of states at the Fermi level**: 3.10 states/eV per cell

***

## C
The following is a PBE calculation of La3FePb after structural relaxation, from the Alexandria database.

Cell lengths 9.9730, 9.9730, 9.9730 Å; angles 60.00, 60.00, 60.00 degrees
With the nearest neighbours (Å) after each atom.
Element x y z (fractional)
Pb (0.6250, 0.6250, 0.6250)  6 La 3.49
Pb (0.6250, 0.1250, 0.6250)  6 La 3.49
Pb (0.1250, 0.6250, 0.6250)  6 La 3.49
Pb (0.6250, 0.6250, 0.1250)  6 La 3.49
Fe (0.1250, 0.1250, 0.1250)  6 La 2.72
Fe (0.1250, 0.6250, 0.1250)  6 La 2.72
Fe (0.6250, 0.1250, 0.1250)  6 La 2.72
Fe (0.1250, 0.1250, 0.6250)  6 La 2.72
La (0.7977, 0.2023, 0.2023)  2 Fe 2.72
La (0.0477, 0.4523, 0.4523)  2 Fe 2.72
La (0.4523, 0.4523, 0.0477)  2 Fe 2.72
La (0.4523, 0.0477, 0.0477)  2 Fe 2.72
La (0.0477, 0.4523, 0.0477)  2 Fe 2.72
La (0.7977, 0.2023, 0.7977)  2 Fe 2.72
La (0.4523, 0.0477, 0.4523)  2 Fe 2.72
La (0.0477, 0.0477, 0.4523)  2 Fe 2.72
La (0.2023, 0.7977, 0.2023)  2 Fe 2.72
La (0.2023, 0.7977, 0.7977)  2 Fe 2.72
La (0.2023, 0.2023, 0.7977)  2 Fe 2.72
La (0.7977, 0.7977, 0.2023)  2 Fe 2.72

Computed properties:
**Mass density**: 6.4 g cm⁻³
**Density of states at the Fermi level**: 19.68 states/eV per cell

***

## D
The following is a PBE calculation of La3FePb after structural relaxation, from the Alexandria database.

Cell lengths 6.9286, 6.9286, 8.3645 Å; angles 65.53, 65.53, 90.00 degrees
With the nearest neighbours (Å) after each atom.
Element x y z (fractional)
Pb (0.6218, 0.1218, 0.7564)  1 Pb 3.48, 8 La 3.48-3.88, 2 Fe 3.84
Pb (0.8782, 0.3782, 0.2436)  1 Pb 3.48, 8 La 3.48-3.88, 2 Fe 3.84
Fe (0.0000, 0.0000, 0.0000)  4 La 2.34
Fe (0.2500, 0.7500, 0.5000)  4 La 2.51
La (0.1370, 0.8848, 0.2304)  2 Fe 2.34-2.51
La (0.1152, 0.8630, 0.7696)  2 Fe 2.34-2.51
La (0.1152, 0.3673, 0.7696)  2 Fe 2.34-2.51
La (0.6327, 0.8848, 0.2304)  2 Fe 2.34-2.51
La (0.3545, 0.3545, 0.2910)  2 Pb 3.48, 6 La 3.69-3.89, 2 Fe 3.74
La (0.6455, 0.6455, 0.7090)  2 Pb 3.48, 6 La 3.69-3.89, 2 Fe 3.74

Computed properties:
**Mass density**: 6.9 g cm⁻³
**Density of states at the Fermi level**: 12.18 states/eV per cell

***

It is B that is the most stable of them.

***

## A
The following is a PBE calculation of LaFe3Pb after structural relaxation, from the Alexandria database.

Cell lengths 4.7791, 4.7791, 4.7791 Å; angles 90.00, 90.00, 90.00 degrees
With the nearest neighbours (Å) after each atom.
Element x y z (fractional)
Pb (0.5000, 0.5000, 0.5000)  12 Fe 3.38
Fe (0.0000, 0.5000, 0.0000)  2 La 2.39
Fe (0.0000, 0.0000, 0.5000)  2 La 2.39
Fe (0.5000, 0.0000, 0.0000)  2 La 2.39
La (0.0000, 0.0000, 0.0000)  6 Fe 2.39

Computed properties:
**Mass density**: 7.8 g cm⁻³
**Density of states at the Fermi level**: 8.84 states/eV per cell

***

## B
The following is a PBE calculation of LaFe3Pb after structural relaxation, from the Alexandria database.

Cell lengths 4.8086, 4.8086, 4.8086 Å; angles 90.00, 90.00, 90.00 degrees
With the nearest neighbours (Å) after each atom.
Element x y z (fractional)
Pb (0.0000, 0.0000, 0.0000)  6 Fe 2.40
Fe (0.0000, 0.5000, 0.0000)  2 Pb 2.40
Fe (0.0000, 0.0000, 0.5000)  2 Pb 2.40
Fe (0.5000, 0.0000, 0.0000)  2 Pb 2.40
La (0.5000, 0.5000, 0.5000)  12 Fe 3.40

Computed properties:
**Mass density**: 7.7 g cm⁻³
**Density of states at the Fermi level**: 11.41 states/eV per cell

***

It is B that is the most stable of them.

***

## A
The following is a PBE calculation of LaScFePb2 after structural relaxation, from the Alexandria database.

Cell lengths 5.5500, 4.6198, 5.5500 Å; angles 90.00, 90.00, 90.00 degrees
With the nearest neighbours (Å) after each atom.
Element x y z (fractional)
Pb (0.0000, 0.0000, 0.5000)  2 Sc 2.77
Pb (0.5000, 0.0000, 0.0000)  2 Sc 2.77
Sc (0.0000, 0.0000, 0.0000)  2 Fe 2.31
Fe (0.0000, 0.5000, 0.0000)  2 Sc 2.31
La (0.5000, 0.5000, 0.5000)  8 Pb 3.61, 4 Fe 3.92

Computed properties:
**Mass density**: 7.6 g cm⁻³
**Density of states at the Fermi level**: 5.45 states/eV per cell

***

## B
The following is a PBE calculation of LaScFePb2 after structural relaxation, from the Alexandria database.

Cell lengths 5.9855, 5.4201, 5.9855 Å; angles 90.00, 90.00, 90.00 degrees
With the nearest neighbours (Å) after each atom.
Element x y z (fractional)
Pb (0.0000, 0.0000, 0.5000)  2 La 2.99
Pb (0.5000, 0.0000, 0.0000)  2 La 2.99
Sc (0.0000, 0.5000, 0.0000)  2 La 2.71
Fe (0.5000, 0.5000, 0.5000)  8 Pb 4.04, 4 Sc 4.23
La (0.0000, 0.0000, 0.0000)  2 Sc 2.71, 4 Pb 2.99

Computed properties:
**Mass density**: 5.6 g cm⁻³
**Density of states at the Fermi level**: 16.55 states/eV per cell

***

It is A that is the most stable of them.

***

## A
The following is a PBE calculation of LaFe2Pd2 after structural relaxation, from the Alexandria database.

Cell lengths 7.4740, 7.4740, 2.9422 Å; angles 90.00, 90.00, 90.00 degrees
With the nearest neighbours (Å) after each atom.
Element x y z (fractional)
Fe (0.3979, 0.8979, 0.0000)  1 Fe 2.16
Fe (0.8979, 0.6021, 0.0000)  1 Fe 2.16
Fe (0.6021, 0.1021, 0.0000)  1 Fe 2.16
Fe (0.1021, 0.3979, 0.0000)  1 Fe 2.16
Pd (0.1886, 0.6886, 0.5000)  6 Fe 2.66-2.70, 2 Pd 2.94
Pd (0.6886, 0.8114, 0.5000)  6 Fe 2.66-2.70, 2 Pd 2.94
Pd (0.8114, 0.3114, 0.5000)  6 Fe 2.66-2.70, 2 Pd 2.94
Pd (0.3114, 0.1886, 0.5000)  6 Fe 2.66-2.70, 2 Pd 2.94
La (0.0000, 0.0000, 0.0000)  2 La 2.94, 4 Fe 3.07, 8 Pd 3.09
La (0.5000, 0.5000, 0.0000)  2 La 2.94, 4 Fe 3.07, 8 Pd 3.09

Computed properties:
**Mass density**: 9.4 g cm⁻³
**Density of states at the Fermi level**: 16.99 states/eV per cell

***

## B
The following is a PBE calculation of LaFe2Pd2 after structural relaxation, from the Alexandria database.

Cell lengths 4.1662, 4.1662, 6.0563 Å; angles 69.88, 69.88, 90.00 degrees
With the nearest neighbours (Å) after each atom.
Element x y z (fractional)
Fe (0.3922, 0.3922, 0.2157)  1 Fe 2.28
Fe (0.6078, 0.6078, 0.7843)  1 Fe 2.28
Pd (0.7500, 0.2500, 0.5000)  4 Fe 2.57
Pd (0.2500, 0.7500, 0.5000)  4 Fe 2.57
La (0.0000, 0.0000, 0.0000)  8 Fe 3.16, 8 Pd 3.37

Computed properties:
**Mass density**: 8.4 g cm⁻³
**Density of states at the Fermi level**: 2.85 states/eV per cell

***

It is B that is the most stable of them.